w.
## ErCrOs (PBE-GGA)

Data for ErCrOs after structural relaxation.

Results
Magnetization in μB/cell: 0.0

extended XYZ file:
```
6
Lattice="4.448 0.000 2.497 1.612 4.382 2.338 -0.007 -0.045 5.222" Properties=species:S:1:pos:R:3 pbc="T T T"
Os 3.030 2.191 2.418
Os 2.220 -0.022 3.859
Cr 0.000 0.000 0.000
Cr 2.224 0.000 1.249
Er 1.561 2.707 5.033
Er 4.491 1.630 5.024
```

x.
## ErCrOs (PBE-GGA)

Data for ErCrOs after structural relaxation.

Results
Magnetization in μB/cell: 10.8

extended XYZ file:
```
12
Lattice="4.785 0.000 0.000 2.392 5.192 0.000 2.392 0.000 9.460" Properties=species:S:1:pos:R:3 pbc="T T T"
Os 5.981 2.596 7.127
Os 2.392 0.000 7.063
Cr 2.392 0.000 1.730
Er 5.981 1.062 4.730
Os 5.981 2.596 2.333
Cr 3.589 2.596 3.000
Er 4.785 1.534 0.000
Er 2.392 3.658 0.000
Os 4.785 0.000 2.397
Cr 3.589 2.596 6.460
Cr 4.785 0.000 7.730
Er 5.981 4.130 4.730
```

Taking the most stable structure as the zero point, the relative energies in meV per atom are w 0; x 459.

w.
## ErCrRh2 (PBE-GGA)

Data for ErCrRh2 after structural relaxation.

Results
Magnetization in μB/cell: 3.7

extended XYZ file:
```
4
Lattice="4.562 0.000 0.000 2.281 3.951 0.000 2.281 1.317 3.725" Properties=species:S:1:pos:R:3 pbc="T T T"
Rh 2.281 1.317 0.931
Cr 0.000 0.000 0.000
Er 4.562 2.634 1.862
Rh 6.843 3.951 2.794
```

x.
## ErCrRh2 (PBE-GGA)

Data for ErCrRh2 after structural relaxation.

Results
Magnetization in μB/cell: 3.7

extended XYZ file:
```
4
Lattice="-0.704 0.314 3.317 -4.328 -0.436 -0.878 0.344 -4.397 0.489" Properties=species:S:1:pos:R:3 pbc="T T T"
Er -2.344 -2.259 1.464
Rh -2.164 -0.218 -0.439
Rh 0.172 -2.198 0.245
Cr -0.352 0.157 1.659
```

Taking the most stable structure as the zero point, the relative energies in meV per atom are w 23; x 0.

w.
## Eu3Cr (PBE-GGA)

Data for Eu3Cr after structural relaxation.

Results
Magnetization in μB/cell: 26.7

extended XYZ file:
```
4
Lattice="5.175 0.000 0.000 0.000 5.175 0.000 0.000 0.000 5.175" Properties=species:S:1:pos:R:3 pbc="T T T"
Eu 2.588 0.000 2.588
Eu 2.588 2.588 0.000
Eu 0.000 2.588 2.588
Cr 0.000 0.000 0.000
```

x.
## Eu3Cr (PBE-GGA)

Data for Eu3Cr after structural relaxation.

Results
Magnetization in μB/cell: 54.1

extended XYZ file:
```
8
Lattice="3.687 -6.385 0.000 3.687 6.385 0.000 0.000 0.000 5.889" Properties=species:S:1:pos:R:3 pbc="T T T"
Eu 1.912 1.104 1.472
Eu 3.687 -4.177 4.417
Cr 3.687 2.128 4.417
Eu 3.687 4.177 1.472
Cr 3.687 -2.128 1.472
Eu 1.912 -1.104 4.417
Eu 5.461 -1.104 4.417
Eu 5.461 1.104 1.472
```

Taking the most stable structure as the zero point, the relative energies in meV per atom are w 11; x 0.